[1]
Computed, not measured: a relaxed Sc2RePd2 crystal at the PBE-GGA level of DFT.

a b c (Å): 7.5207 7.5207 3.0840
angles (deg): 90.00 90.00 90.00
With the nearest neighbours (Å) after each atom.
Space group P4/mbm (No. 127)
Asymmetric unit:
1 Sc 0.1745 0.3255 0.0000  6 Pd 2.61-2.77
2 Re 0.0000 0.0000 0.5000  4 Pd 2.96, 2 Re 3.08, 8 Sc 3.18
3 Pd 0.1280 0.6280 0.5000  6 Sc 2.61-2.77, 1 Pd 2.72

Results
- formation energy (meV/atom) = -275
- E_tot (eV per atom) = -7.375
- M_tot (μB/cell) = 0.00

[2]
Computed, not measured: a relaxed LiPm2NiGe2 crystal at the PBE-GGA level of DFT.

a b c (Å): 6.0902 13.2173 6.0787
angles (deg): 90.00 90.00 90.00
With the nearest neighbours (Å) after each atom.
Space group Ibam (No. 72)
Asymmetric unit:
1 Li 0.0000 0.0000 0.2500  4 Ge 2.59
2 Pm 0.2440 0.3439 0.0000  2 Ni 2.96, 2 Li 3.00, 5 Ge 3.03-3.21
3 Ni 0.0000 0.5000 0.2500  4 Ge 2.53
4 Ge 0.2412 0.3947 0.5000  2 Ni 2.53, 2 Li 2.59

Results
- formation energy (meV/atom) = -663
- E_tot (eV per atom) = -5.068
- M_tot (μB/cell) = 0.00

[3]
Computed, not measured: a relaxed KTcPb2 crystal at the PBE-GGA level of DFT.

a b c (Å): 3.1207 6.4835 11.6513
angles (deg): 90.00 90.00 90.00
With the nearest neighbours (Å) after each atom.
Space group Immm (No. 71)
Asymmetric unit:
1 K 0.0000 0.0000 0.0000  2 K 3.12
2 Tc 0.0000 0.0000 0.5000  4 Pb 2.79, 2 Tc 3.12
3 Pb 0.0000 0.5000 0.1988  2 Tc 2.79, 2 Pb 3.12

Results
- formation energy (meV/atom) = 576
- E_tot (eV per atom) = -4.144
- M_tot (μB/cell) = 0.99

[4]
Computed, not measured: a relaxed AgBTe2Pd crystal at the PBE-GGA level of DFT.

a b c (Å): 5.4804 5.4804 3.9486
angles (deg): 90.00 90.00 90.00
With the nearest neighbours (Å) after each atom.
Space group P4/mmm (No. 123)
Asymmetric unit:
1 Ag 0.0000 0.0000 0.0000  8 Te 3.38
2 B 0.5000 0.5000 0.0000  2 Pd 1.97
3 Te 0.0000 0.5000 0.5000  2 Pd 2.74
4 Pd 0.5000 0.5000 0.5000  2 B 1.97

Results
- E_tot (eV per atom) = -3.657
- energy relative to the elements, uncorrected (meV per atom) = 544
- M_tot (μB/cell) = 0.00